The following is a DFT calculation (GGA-PBE) of ScCoTcPb after structural relaxation. Values from VASP.

Results
Energy relative to the lowest polymorph listed for this composition ... 0.214 eV per atom
Theoretical density ... 9.70 g/cm³

Structure (Quantum ESPRESSO input):
```
&SYSTEM
  ibrav = 0, nat = 16, ntyp = 4
/
ATOMIC_SPECIES
Sc 44.96 Sc.upf
Co 58.93 Co.upf
Tc 98.00 Tc.upf
Pb 207.20 Pb.upf
CELL_PARAMETERS angstrom
6.543 0.000 0.000
0.000 6.543 0.000
0.000 0.000 6.543
ATOMIC_POSITIONS angstrom
Sc 0.000 0.000 0.000
Sc 0.000 3.272 3.272
Sc 3.272 0.000 3.272
Sc 3.272 3.272 0.000
Co 0.000 0.000 3.272
Co 0.000 3.272 0.000
Co 3.272 0.000 0.000
Co 3.272 3.272 3.272
Tc 1.636 1.636 4.908
Tc 1.636 4.908 1.636
Tc 4.908 1.636 1.636
Tc 4.908 4.908 4.908
Pb 1.636 1.636 1.636
Pb 1.636 4.908 4.908
Pb 4.908 1.636 4.908
Pb 4.908 4.908 1.636
```

***

The following is a DFT calculation (GGA-PBE) of AcInAg after structural relaxation. Values from VASP.

Results
Energy relative to the lowest polymorph listed for this composition ... 0.000 eV per atom
Theoretical density ... 8.58 g/cm³

Structure (Quantum ESPRESSO input):
```
&SYSTEM
  ibrav = 0, nat = 3, ntyp = 3
/
ATOMIC_SPECIES
Ac 227.00 Ac.upf
In 114.82 In.upf
Ag 107.87 Ag.upf
CELL_PARAMETERS angstrom
5.016 0.000 0.000
-2.508 4.344 0.000
0.000 0.000 3.994
ATOMIC_POSITIONS angstrom
Ac 0.000 0.000 0.000
In 2.508 1.448 1.997
Ag 0.000 2.896 1.997
```

***

The following is a DFT calculation (GGA-PBE) of Zn2I2O after structural relaxation. Values from VASP.

Results
E ... -27.27 eV for the cell shown
Theoretical density ... 5.88 g/cm³

Structure (Quantum ESPRESSO input):
```
&SYSTEM
  ibrav = 0, nat = 10, ntyp = 3
/
ATOMIC_SPECIES
Zn 65.41 Zn.upf
I 126.90 I.upf
O 16.00 O.upf
CELL_PARAMETERS angstrom
0.000 5.288 5.594
3.823 0.000 5.594
3.823 5.288 0.000
ATOMIC_POSITIONS angstrom
Zn 0.000 0.000 0.000
Zn 1.911 2.644 0.000
Zn 1.911 0.000 2.797
Zn 0.000 2.644 2.797
I 2.867 2.075 4.195
I 4.778 4.719 6.992
I 2.867 5.856 4.195
I 4.778 8.500 6.992
O 0.956 1.322 1.398
O 6.690 9.254 9.789
```

***

The following is a DFT calculation (GGA-PBE) of CoGe6Au2 after structural relaxation. Values from VASP.

Results
E ... -39.66 eV for the cell shown
Theoretical density ... 8.95 g/cm³

Structure (Quantum ESPRESSO input):
```
&SYSTEM
  ibrav = 0, nat = 9, ntyp = 3
/
ATOMIC_SPECIES
Co 58.93 Co.upf
Ge 72.64 Ge.upf
Au 196.97 Au.upf
CELL_PARAMETERS angstrom
0.000 4.352 4.352
4.352 0.000 4.352
4.352 4.352 0.000
ATOMIC_POSITIONS angstrom
Co 0.000 0.000 0.000
Ge 4.352 4.352 2.346
Ge 4.352 2.346 4.352
Ge 6.359 4.352 4.352
Ge 2.346 4.352 4.352
Ge 4.352 6.359 4.352
Ge 4.352 4.352 6.359
Au 2.176 2.176 2.176
Au 6.529 6.529 6.529
```

***

The following is a DFT calculation (GGA-PBE) of ErTmMg2 after structural relaxation. Values from VASP.

Results
Energy relative to the lowest polymorph listed for this composition ... 0.070 eV per atom
Theoretical density ... 5.92 g/cm³

Structure (Quantum ESPRESSO input):
```
&SYSTEM
  ibrav = 0, nat = 16, ntyp = 3
/
ATOMIC_SPECIES
Er 167.26 Er.upf
Tm 168.93 Tm.upf
Mg 24.30 Mg.upf
CELL_PARAMETERS angstrom
5.415 0.000 0.000
0.000 11.915 0.000
0.000 0.000 6.691
ATOMIC_POSITIONS angstrom
Er 1.354 1.983 0.000
Er 1.354 7.940 3.346
Er 4.062 3.975 3.346
Er 4.062 9.932 0.000
Tm 1.354 5.005 5.121
Tm 1.354 10.963 1.776
Tm 4.062 0.952 1.776
Tm 4.062 6.909 5.121
Mg 1.354 2.040 3.350
Mg 1.354 4.972 1.714
Mg 1.354 7.998 0.004
Mg 1.354 10.929 5.059
Mg 4.062 0.985 5.059
Mg 4.062 3.917 0.004
Mg 4.062 6.943 1.714
Mg 4.062 9.874 3.350
```

***

The following is a DFT calculation (GGA-PBE) of CoC3 after structural relaxation. Values from VASP.

Results
Energy relative to the lowest polymorph listed for this composition ... 0.000 eV per atom
Theoretical density ... 4.08 g/cm³

Structure (Quantum ESPRESSO input):
```
&SYSTEM
  ibrav = 0, nat = 8, ntyp = 2
/
ATOMIC_SPECIES
Co 58.93 Co.upf
C 12.01 C.upf
CELL_PARAMETERS angstrom
2.522 0.000 0.000
0.000 4.276 0.000
-0.409 0.000 7.177
ATOMIC_POSITIONS angstrom
Co 0.000 0.000 0.000
Co 1.261 2.138 0.000
C -0.140 0.715 2.907
C -0.140 3.562 2.907
C 0.853 0.000 5.932
C 1.121 1.424 2.907
C 1.121 2.853 2.907
C 2.114 2.138 5.932
```